{"formula": "Ba2ScOsS6", "functional": "PBE", "state": "relaxed", "lattice": [[6.8815, 0.0000, 0.0000], [3.4399, 5.9605, 0.0000], [3.4397, 1.9857, 5.6210]], "species": ["Ba", "Ba", "Sc", "Os", "S", "S", "S", "S", "S", "S"], "fractional_positions": [[0.2501, 0.2499, 0.2500], [0.7499, 0.7501, 0.7500], [0.0000, 0.0000, 0.0000], [0.5000, 0.5000, 0.5000], [0.2543, 0.7446, 0.2608], [0.2581, 0.7377, 0.7472], [0.2601, 0.2550, 0.7407], [0.7399, 0.7450, 0.2593], [0.7419, 0.2623, 0.2528], [0.7457, 0.2554, 0.7392]], "vol_a3_per_fu": 230.55, "relative_energy_mev_per_atom": 4, "energy_ev_per_atom": -5.855}